DFT (PBE) results for a relaxed structure of Cs2TlH8.

Crystal system: orthorhombic

The structure in POSCAR format:
```
Cs2TlH8
1.0
-2.070 -2.236 -4.279
5.476 -1.659 -1.782
-2.298 -3.241 6.029
Cs Tl H
2 1 8
Cartesian
2.532 -2.624 0.146
-1.424 -4.512 -0.178
-1.035 -1.118 -2.140
3.060 -3.588 -2.830
1.035 -4.452 1.826
-0.103 -0.895 0.518
-3.727 -5.671 1.542
1.210 -6.240 -0.549
0.073 -2.683 -1.858
-1.952 -3.547 2.798
4.835 -1.465 -1.573
```



DFT (PBE) results for a relaxed structure of CsTl3H.

Crystal system: cubic

The structure in POSCAR format:
```
CsTl3H
1.0
-5.065 -1.474 1.250
-0.601 -2.131 -4.949
1.837 -4.762 1.827
Cs H Tl
1 1 3
Cartesian
-1.914 -4.184 -0.936
0.000 0.000 0.000
-0.300 -1.065 -2.474
0.919 -2.381 0.914
-2.533 -0.737 0.625
```



DFT (PBE) results for a relaxed structure of Cs2TlH2.

Crystal system: tetragonal

The structure in POSCAR format:
```
Cs2TlH2
1.0
8.530 0.000 0.000
0.000 8.530 0.000
0.000 0.000 4.213
Cs H Tl
4 4 2
Cartesian
1.303 5.568 2.107
5.568 7.227 2.107
7.227 2.962 2.107
2.962 1.303 2.107
2.897 7.162 0.000
7.162 5.634 0.000
5.634 1.368 0.000
1.368 2.897 0.000
0.000 0.000 0.000
4.265 4.265 0.000
```



For each record above, in turn, the calculated electronic total energy values are -25.70, -9.96, -10.49 eV per formula unit.
For each record above, in turn, the calculated spin magnetization values are 1.001, 0.000, 0.000 μB/cell.